No. 1
# Tb12DyTm2 (PBE-GGA, optimized geometry)
data_Tb12DyTm2
_chemical_formula_sum 'Tb12 Dy1 Tm2'
_cell_length_a 3.550
_cell_length_b 5.571
_cell_length_c 24.250
_cell_angle_alpha 90.00
_cell_angle_beta 94.18
_cell_angle_gamma 90.00
_symmetry_space_group_name_H-M 'P 1'
_symmetry_Int_Tables_number 1
loop_
_symmetry_equiv_pos_as_xyz
'x,y,z'
loop_
_atom_site_label
_atom_site_fract_x
_atom_site_fract_y
_atom_site_fract_z
Tb1 0.036 0.000 0.073
Tb2 0.225 0.000 0.444
Tb3 0.285 0.500 0.576
Tb4 0.335 0.000 0.671
Tb5 0.402 0.000 0.799
Tb6 0.432 0.500 0.862
Tb7 0.568 0.500 0.138
Tb8 0.598 0.000 0.201
Tb9 0.665 0.000 0.329
Tb10 0.715 0.500 0.424
Tb11 0.775 0.000 0.556
Tb12 0.964 0.000 0.927
Dy1 0.500 0.500 0.000
Tm1 0.135 0.500 0.271
Tm2 0.865 0.500 0.729
# Raw total energy: -67.34 eV per cell
# Calculated formation energy: 0.12 eV per atom
# Space group: P2/m (10)

No. 2
# TbDyTm (PBE-GGA, optimized geometry)
data_TbDyTm
_chemical_formula_sum 'Tb1 Dy1 Tm1'
_cell_length_a 5.133
_cell_length_b 5.133
_cell_length_c 5.874
_cell_angle_alpha 90.00
_cell_angle_beta 90.00
_cell_angle_gamma 120.00
_symmetry_space_group_name_H-M 'P 1'
_symmetry_Int_Tables_number 1
loop_
_symmetry_equiv_pos_as_xyz
'x,y,z'
loop_
_atom_site_label
_atom_site_fract_x
_atom_site_fract_y
_atom_site_fract_z
Tb1 0.000 0.000 0.000
Dy1 0.333 0.667 0.500
Tm1 0.333 0.667 0.000
# Raw total energy: -8.85 eV per cell
# Calculated formation energy: 1.62 eV per atom
# Energy relative to the lowest polymorph listed for this composition: 1597 meV per atom
# Space group: P-6m2 (187)

No. 3
# TbDyTm6 (PBE-GGA, optimized geometry)
data_TbDyTm6
_chemical_formula_sum 'Tb1 Dy1 Tm6'
_cell_length_a 6.683
_cell_length_b 6.683
_cell_length_c 6.540
_cell_angle_alpha 90.04
_cell_angle_beta 90.04
_cell_angle_gamma 122.08
_symmetry_space_group_name_H-M 'P 1'
_symmetry_Int_Tables_number 1
loop_
_symmetry_equiv_pos_as_xyz
'x,y,z'
loop_
_atom_site_label
_atom_site_fract_x
_atom_site_fract_y
_atom_site_fract_z
Tb1 0.000 0.000 0.000
Dy1 0.000 0.000 0.500
Tm1 0.062 0.580 0.750
Tm2 0.420 0.938 0.250
Tm3 0.492 0.492 0.250
Tm4 0.508 0.508 0.750
Tm5 0.580 0.062 0.750
Tm6 0.938 0.420 0.250
# Raw total energy: -34.21 eV per cell
# Calculated formation energy: 0.23 eV per atom
# Energy relative to the lowest polymorph listed for this composition: 209 meV per atom
# Space group: C2/m (12)

No. 4
# Tb2DyTm5 (PBE-GGA, optimized geometry)
data_Tb2DyTm5
_chemical_formula_sum 'Tb4 Dy2 Tm10'
_cell_length_a 5.783
_cell_length_b 10.693
_cell_length_c 8.487
_cell_angle_alpha 90.00
_cell_angle_beta 107.18
_cell_angle_gamma 90.00
_symmetry_space_group_name_H-M 'P 1'
_symmetry_Int_Tables_number 1
loop_
_symmetry_equiv_pos_as_xyz
'x,y,z'
loop_
_atom_site_label
_atom_site_fract_x
_atom_site_fract_y
_atom_site_fract_z
Tb1 0.152 0.109 0.046
Tb2 0.152 0.391 0.046
Tb3 0.848 0.609 0.954
Tb4 0.848 0.891 0.954
Dy1 0.460 0.750 0.133
Dy2 0.540 0.250 0.867
Tm1 0.207 0.585 0.375
Tm2 0.207 0.915 0.375
Tm3 0.244 0.250 0.438
Tm4 0.295 0.584 0.770
Tm5 0.295 0.916 0.770
Tm6 0.705 0.084 0.230
Tm7 0.705 0.416 0.230
Tm8 0.756 0.750 0.562
Tm9 0.793 0.085 0.625
Tm10 0.793 0.415 0.625
# Raw total energy: -69.33 eV per cell
# Calculated formation energy: 0.19 eV per atom
# Space group: P2_1/m (11)

No. 5
# Tb6Dy12Tm (PBE-GGA, optimized geometry)
data_Tb6Dy12Tm
_chemical_formula_sum 'Tb6 Dy12 Tm1'
_cell_length_a 8.488
_cell_length_b 8.488
_cell_length_c 8.488
_cell_angle_alpha 88.49
_cell_angle_beta 88.49
_cell_angle_gamma 88.49
_symmetry_space_group_name_H-M 'P 1'
_symmetry_Int_Tables_number 1
loop_
_symmetry_equiv_pos_as_xyz
'x,y,z'
loop_
_atom_site_label
_atom_site_fract_x
_atom_site_fract_y
_atom_site_fract_z
Tb1 0.192 0.758 0.592
Tb2 0.242 0.408 0.808
Tb3 0.408 0.808 0.242
Tb4 0.592 0.192 0.758
Tb5 0.758 0.592 0.192
Tb6 0.808 0.242 0.408
Dy1 0.042 0.936 0.275
Dy2 0.064 0.725 0.958
Dy3 0.144 0.488 0.296
Dy4 0.275 0.042 0.936
Dy5 0.296 0.144 0.488
Dy6 0.488 0.296 0.144
Dy7 0.512 0.704 0.856
Dy8 0.704 0.856 0.512
Dy9 0.725 0.958 0.064
Dy10 0.856 0.512 0.704
Dy11 0.936 0.275 0.042
Dy12 0.958 0.064 0.725
Tm1 0.500 0.500 0.500
# Raw total energy: -84.54 eV per cell
# Calculated formation energy: 0.15 eV per atom
# Energy relative to the lowest polymorph listed for this composition: 0 meV per atom
# Space group: R-3 (148)

No. 6
# Tb3Dy8Tm3 (PBE-GGA, optimized geometry)
data_Tb3Dy8Tm3
_chemical_formula_sum 'Tb3 Dy8 Tm3'
_cell_length_a 9.555
_cell_length_b 9.555
_cell_length_c 9.555
_cell_angle_alpha 146.15
_cell_angle_beta 112.02
_cell_angle_gamma 78.15
_symmetry_space_group_name_H-M 'P 1'
_symmetry_Int_Tables_number 1
loop_
_symmetry_equiv_pos_as_xyz
'x,y,z'
loop_
_atom_site_label
_atom_site_fract_x
_atom_site_fract_y
_atom_site_fract_z
Tb1 0.000 0.000 0.000
Tb2 0.300 0.000 0.300
Tb3 0.700 0.000 0.700
Dy1 0.056 0.396 0.660
Dy2 0.064 0.223 0.842
Dy3 0.263 0.604 0.660
Dy4 0.381 0.223 0.158
Dy5 0.619 0.777 0.842
Dy6 0.737 0.396 0.340
Dy7 0.936 0.777 0.158
Dy8 0.944 0.604 0.340
Tm1 0.317 0.817 0.500
Tm2 0.500 0.500 0.000
Tm3 0.683 0.183 0.500
# Raw total energy: -62.41 eV per cell
# Calculated formation energy: 0.12 eV per atom
# Energy relative to the lowest polymorph listed for this composition: 9 meV per atom
# Space group: Immm (71)

No. 7
# Tb3DyTm4 (PBE-GGA, optimized geometry)
data_Tb3DyTm4
_chemical_formula_sum 'Tb3 Dy1 Tm4'
_cell_length_a 13.269
_cell_length_b 13.269
_cell_length_c 3.510
_cell_angle_alpha 90.00
_cell_angle_beta 90.00
_cell_angle_gamma 155.76
_symmetry_space_group_name_H-M 'P 1'
_symmetry_Int_Tables_number 1
loop_
_symmetry_equiv_pos_as_xyz
'x,y,z'
loop_
_atom_site_label
_atom_site_fract_x
_atom_site_fract_y
_atom_site_fract_z
Tb1 0.000 0.000 0.000
Tb2 0.156 0.844 0.500
Tb3 0.844 0.156 0.500
Dy1 0.500 0.500 0.500
Tm1 0.277 0.723 0.000
Tm2 0.396 0.604 0.000
Tm3 0.604 0.396 0.000
Tm4 0.723 0.277 0.000
# Raw total energy: -34.76 eV per cell
# Calculated formation energy: 0.20 eV per atom
# Energy relative to the lowest polymorph listed for this composition: 199 meV per atom
# Space group: Cmmm (65)

No. 8
# Tb4DyTm6 (PBE-GGA, optimized geometry)
data_Tb4DyTm6
_chemical_formula_sum 'Tb4 Dy1 Tm6'
_cell_length_a 8.382
_cell_length_b 8.382
_cell_length_c 8.382
_cell_angle_alpha 126.25
_cell_angle_beta 126.25
_cell_angle_gamma 79.47
_symmetry_space_group_name_H-M 'P 1'
_symmetry_Int_Tables_number 1
loop_
_symmetry_equiv_pos_as_xyz
'x,y,z'
loop_
_atom_site_label
_atom_site_fract_x
_atom_site_fract_y
_atom_site_fract_z
Tb1 0.254 0.254 0.659
Tb2 0.405 0.746 0.000
Tb3 0.595 0.595 0.341
Tb4 0.746 0.405 0.000
Dy1 0.000 0.000 0.000
Tm1 0.000 0.500 0.500
Tm2 0.062 0.572 0.000
Tm3 0.428 0.428 0.490
Tm4 0.500 0.000 0.500
Tm5 0.572 0.062 0.000
Tm6 0.938 0.938 0.510
# Raw total energy: -44.78 eV per cell
# Calculated formation energy: 0.47 eV per atom
# Energy relative to the lowest polymorph listed for this composition: 162 meV per atom
# Space group: I-42m (121)

| no. | calculated volume (Å³ per atom) | magnetization (μB/atom) |
| --- | --- | --- |
| 1 | 31.89 | 0.000 |
| 2 | 44.67 | 0.000 |
| 3 | 30.94 | 0.000 |
| 4 | 31.34 | 0.000 |
| 5 | 32.15 | 0.000 |
| 6 | 31.50 | 0.000 |
| 7 | 31.71 | 0.000 |
| 8 | 33.65 | 0.000 |